No. 1
Density functional theory data (PBE-GGA) for P2RuCO after structural relaxation.

The energy above the most stable polymorph in this dataset comes out at 0 meV per atom. For the mass density, the calculation gives 5.74 g/cm3.

Lattice parameters (Å, degrees): 3.8361 3.8361 3.7571 90.00 90.00 90.00
Closest atoms and distances in Å follow each position.
Positions (direct):
P 0.0000 0.5000 0.0000  2 C 1.92
P 0.5000 0.0000 0.0000  2 C 1.92
Ru 0.0000 0.0000 0.5000  8 P 2.68, 4 O 2.71
C 0.5000 0.5000 0.0000  2 O 1.88, 4 P 1.92
O 0.5000 0.5000 0.5000  2 C 1.88

No. 2
Density functional theory data (PBE-GGA) for P2RuCO after structural relaxation.

The energy above the most stable polymorph in this dataset comes out at 336 meV per atom. For the mass density, the calculation gives 4.02 g/cm3.

Lattice parameters (Å, degrees): 4.6713 4.6713 3.6196 90.00 90.00 90.00
Closest atoms and distances in Å follow each position.
Positions (direct):
P 0.0000 0.5000 0.0000  2 Ru 2.34
P 0.5000 0.0000 0.0000  2 Ru 2.34
Ru 0.0000 0.0000 0.0000  2 O 1.81
C 0.5000 0.5000 0.5000  8 P 2.95, 4 O 3.30
O 0.0000 0.0000 0.5000  2 Ru 1.81

No. 3
Density functional theory data (PBE-GGA) for SiP2CO after structural relaxation.

The energy above the most stable polymorph in this dataset comes out at 43 meV per atom. For the mass density, the calculation gives 2.85 g/cm3.

Lattice parameters (Å, degrees): 4.6097 4.6097 3.2370 90.00 90.00 90.00
Closest atoms and distances in Å follow each position.
Positions (direct):
Si 0.0000 0.0000 0.0000  2 O 1.62
P 0.0000 0.5000 0.0000  2 Si 2.30
P 0.5000 0.0000 0.0000  2 Si 2.30
C 0.5000 0.5000 0.5000  8 P 2.82
O 0.0000 0.0000 0.5000  2 Si 1.62